Entry 1:
VASP calculation (PBE) on an optimized crystal structure of CrNiPd6.

Results
Offset from the most stable computed form ... 0.0 meV per atom
Density ... 10.57 g/cm³
ΔH_f (0 K) ... -0.02 eV per atom

The structure in CIF format:
```
data_CrNiPd6
_cell_length_a 5.507
_cell_length_b 5.507
_cell_length_c 3.883
_cell_angle_alpha 90.00
_cell_angle_beta 90.00
_cell_angle_gamma 90.00
_symmetry_space_group_name_H-M 'P 4/m m m'
_symmetry_Int_Tables_number 123
_symmetry_space_group_name_Hall '-P 4 2'
loop_
_atom_site_label
_atom_site_type_symbol
_atom_site_fract_x
_atom_site_fract_y
_atom_site_fract_z
Cr1 Cr 0.000 0.000 0.000
Ni1 Ni 0.500 0.500 0.000
Pd1 Pd 0.000 0.500 0.000
Pd2 Pd 0.251 0.251 0.500
```



Entry 2:
VASP calculation (PBE) on an optimized crystal structure of Rb2TbHoTe4.

Results
Density ... 5.50 g/cm³
Formation energy (no corrections) ... -11.07 eV/f.u.

The structure in CIF format:
```
data_Rb2TbHoTe4
_cell_length_a 7.838
_cell_length_b 4.527
_cell_length_c 8.943
_cell_angle_alpha 90.00
_cell_angle_beta 106.97
_cell_angle_gamma 90.00
_symmetry_space_group_name_H-M 'P 1 2/m 1'
_symmetry_Int_Tables_number 10
loop_
_symmetry_equiv_pos_as_xyz
'x,y,z'
'-x,-y,-z'
'-x,y,-z'
'x,-y,z'
loop_
_atom_site_label
_atom_site_type_symbol
_atom_site_fract_x
_atom_site_fract_y
_atom_site_fract_z
Rb1 Rb 0.000 0.000 0.000
Rb2 Rb 0.500 0.500 0.000
Tb1 Tb 0.000 0.500 0.500
Ho1 Ho 0.500 0.000 0.500
Te1 Te 0.235 0.000 0.700
Te2 Te 0.269 0.500 0.301
```



Entry 3:
VASP calculation (PBE) on an optimized crystal structure of VAsC3.

Results
Offset from the most stable computed form ... 509.5 meV per atom
Density ... 4.63 g/cm³
ΔH_f (0 K) ... 2.48 eV per atom

The structure in CIF format:
```
data_VAsC3
_cell_length_a 3.872
_cell_length_b 3.872
_cell_length_c 3.872
_cell_angle_alpha 90.00
_cell_angle_beta 90.00
_cell_angle_gamma 90.00
_symmetry_space_group_name_H-M 'P m -3 m'
_symmetry_Int_Tables_number 221
_symmetry_space_group_name_Hall '-P 4 2 3'
loop_
_atom_site_label
_atom_site_type_symbol
_atom_site_fract_x
_atom_site_fract_y
_atom_site_fract_z
V1 V 0.000 0.000 0.000
As1 As 0.500 0.500 0.500
C1 C 0.000 0.500 0.500
```



Entry 4:
VASP calculation (PBE) on an optimized crystal structure of Ba6Na2CdPt.

Results
Density ... 3.50 g/cm³
ΔH_f (0 K) ... -0.21 eV per atom

The structure in CIF format:
```
data_Ba6Na2CdPt
_cell_length_a 9.240
_cell_length_b 13.072
_cell_length_c 9.255
_cell_angle_alpha 90.00
_cell_angle_beta 90.00
_cell_angle_gamma 90.00
_symmetry_space_group_name_H-M 'I m m 2'
_symmetry_Int_Tables_number 44
loop_
_symmetry_equiv_pos_as_xyz
'x,y,z'
'-x,-y,z'
'-x,y,z'
'x,-y,z'
'x+1/2,y+1/2,z+1/2'
'-x+1/2,-y+1/2,z+1/2'
'-x+1/2,y+1/2,z+1/2'
'x+1/2,-y+1/2,z+1/2'
loop_
_atom_site_label
_atom_site_type_symbol
_atom_site_fract_x
_atom_site_fract_y
_atom_site_fract_z
Ba1 Ba 0.000 0.239 0.000
Ba2 Ba 0.239 0.000 0.239
Ba3 Ba 0.239 0.000 0.761
Na1 Na 0.000 0.250 0.501
Cd1 Cd 0.000 0.500 0.000
Pt1 Pt 0.000 0.000 0.000
```



> What is the density in the first record?

10.57 g/cm³